This record from the Open Quantum Materials Database describes AlGaPd2 after structural relaxation. The functional is PBE.

Electronic total energy = -39.48 eV per cell
Space-group type = P6_3/mmc (194)

abc: 2.976 2.976 15.959
angles: 90.00 90.00 120.00
Fractional coordinates of all 8 atoms:
Al  0.333  0.667  0.250
Al  0.667  0.333  0.750
Ga  0.000  0.000  0.000
Ga  0.000  0.000  0.500
Pd  0.333  0.667  0.628
Pd  0.333  0.667  0.872
Pd  0.667  0.333  0.128
Pd  0.667  0.333  0.372

This record from the Open Quantum Materials Database describes Pr2AlGaPd4 after structural relaxation. The functional is PBE.

Electronic total energy = -43.81 eV per cell
Space-group type = P-3m1 (164)
M_tot = 0.0 μB/f.u.

abc: 4.446 4.446 9.592
angles: 90.00 90.00 120.00
Fractional coordinates of all 8 atoms:
Pr  0.333  0.667  0.251
Pr  0.667  0.333  0.749
Al  0.000  0.000  0.000
Ga  0.000  0.000  0.500
Pd  0.333  0.667  0.573
Pd  0.333  0.667  0.929
Pd  0.667  0.333  0.071
Pd  0.667  0.333  0.427

This record from the Open Quantum Materials Database describes Pr3AlGaPd4 after structural relaxation. The functional is PBE.

Electronic total energy = -48.99 eV per cell
Space-group type = Cm (8)
M_tot = 0.0 μB/f.u.

abc: 5.681 5.681 8.823
angles: 97.81 97.81 45.38
Fractional coordinates of all 9 atoms:
Pr  0.000  0.000  0.000
Pr  0.245  0.245  0.766
Pr  0.621  0.621  0.381
Al  0.942  0.942  0.593
Ga  0.302  0.302  0.164
Pd  0.344  0.344  0.470
Pd  0.534  0.534  0.740
Pd  0.706  0.706  0.018
Pd  0.900  0.900  0.294